No. 1
Entry from the Alexandria database: a relaxed PmDy2Ho5Er crystal (PBE).

Geometry as POSCAR:
```
PmDy2Ho5Er
1.0
-4.467 4.467 7.263
4.467 -4.467 7.263
4.467 4.467 -7.263
Pm Dy Ho Er
2 4 10 2
Direct
0.250 0.250 0.000
0.750 0.750 0.000
0.112 0.612 0.724
0.388 0.112 0.500
0.612 0.888 0.500
0.888 0.388 0.276
0.000 0.000 0.000
0.073 0.163 0.500
0.163 0.663 0.090
0.337 0.427 0.500
0.427 0.927 0.090
0.500 0.500 0.000
0.573 0.073 0.910
0.663 0.573 0.500
0.837 0.337 0.910
0.927 0.837 0.500
0.250 0.750 0.500
0.750 0.250 0.500
```

=====

No. 2
Entry from the Alexandria database: a relaxed Nd2CrNi3As4 crystal (PBE).

Geometry as POSCAR:
```
Nd2CrNi3As4
1.0
4.225 0.000 0.000
0.000 4.225 0.000
0.000 0.000 9.755
Nd Cr Ni As
2 1 3 4
Direct
0.000 0.500 0.241
0.500 0.000 0.759
0.000 0.000 0.500
0.000 0.500 0.884
0.500 0.000 0.116
0.500 0.500 0.500
0.000 0.000 0.000
0.000 0.500 0.638
0.500 0.000 0.362
0.500 0.500 0.000
```

=====

No. 3
Entry from the Alexandria database: a relaxed PmAs2PtRh5 crystal (PBE).

Geometry as POSCAR:
```
PmAs2PtRh5
1.0
4.705 0.000 0.000
0.000 4.705 0.000
0.000 0.000 7.130
Pm As Pt Rh
1 2 1 5
Direct
0.000 0.000 0.000
0.500 0.500 0.331
0.500 0.500 0.669
0.000 0.000 0.500
0.000 0.500 0.290
0.000 0.500 0.710
0.500 0.000 0.290
0.500 0.000 0.710
0.500 0.500 0.000
```

=====

For each record above, in turn, the calculated size of the total moment values are 0.0; 3.4; 0.0 Bohr magnetons per cell.
For each record above, in turn, the calculated DFT formation energy values are 2.67; -7.41; -1.86 eV/f.u..